(1)
Density functional theory data (PBE-GGA) for a geometry-optimized CuAsF3 structure.

a b c (Å): 4.252 4.252 4.252
angles (deg): 90.00 90.00 90.00
Site moments in Bohr magnetons follow the coordinates.
Element x y z (fractional)
As  0.000  0.000  0.000  0.15
Cu  0.500  0.500  0.500  0.05
F  0.000  0.500  0.000  0.02
F  0.000  0.000  0.500  0.03
F  0.500  0.000  0.000  0.02

Properties
**Symmetry**: No. 221
**Energy above the lowest structure with this stoichiometry**: 0.0 kJ/mol of atoms
**E_form (uncorrected)**: -0.89 eV per atom

***

(2)
Density functional theory data (PBE-GGA) for a geometry-optimized Tb2PmTh3Sb6 structure.

a b c (Å): 4.477 8.917 9.993
angles (deg): 102.72 102.94 90.00
Element x y z (fractional)
Tb  0.833  0.667  0.666
Tb  0.167  0.333  0.334
Pm  0.500  0.000  0.000
Th  0.500  0.500  0.000
Th  0.834  0.167  0.668
Th  0.166  0.833  0.332
Sb  0.333  0.912  0.666
Sb  0.668  0.579  0.337
Sb  0.667  0.088  0.334
Sb  0.002  0.250  0.004
Sb  0.998  0.750  0.996
Sb  0.332  0.421  0.663

Properties
**Symmetry**: No. 12
**E_form (uncorrected)**: -1.04 eV per atom

***

(3)
Density functional theory data (PBE-GGA) for a geometry-optimized Th2Co17C2 structure.

a b c (Å): 6.408 6.399 6.399
angles (deg): 84.52 83.71 83.71
Site moments in Bohr magnetons follow the coordinates.
Element x y z (fractional)
Th  0.320  0.356  0.356  -0.27
Th  0.680  0.644  0.644  -0.27
Co  0.096  0.095  0.095  1.62
Co  0.904  0.905  0.905  1.62
Co  0.000  0.276  0.724  1.45
Co  0.716  0.001  0.283  1.04
Co  0.284  0.717  0.999  1.04
Co  0.284  0.999  0.717  1.04
Co  0.716  0.283  0.001  1.04
Co  0.000  0.724  0.276  1.45
Co  0.658  0.656  0.142  0.92
Co  0.140  0.657  0.657  1.34
Co  0.658  0.142  0.656  0.92
Co  0.342  0.344  0.858  0.92
Co  0.860  0.343  0.343  1.34
Co  0.342  0.858  0.344  0.92
Co  0.500  0.000  0.000  1.66
Co  0.000  0.500  0.000  1.54
Co  0.000  0.000  0.500  1.54
C  0.500  0.000  0.500  -0.05
C  0.500  0.500  0.000  -0.05

Properties
**Symmetry**: No. 12
**Formation enthalpy at 0 K**: -0.059 eV/atom

***

(4)
Density functional theory data (PBE-GGA) for a geometry-optimized LaWAu structure.

a b c (Å): 4.911 4.911 4.911
angles (deg): 60.00 60.00 60.00
Site moments in Bohr magnetons follow the coordinates.
Element x y z (fractional)
Au  0.500  0.500  0.500  0.04
La  0.750  0.750  0.750  0.20
W  0.000  0.000  0.000  2.26

Properties
**Symmetry**: No. 216
**Formation enthalpy at 0 K**: 1.297 eV/atom
**Energy above the lowest structure with this stoichiometry**: 92.5 kJ/mol of atoms

***

(5)
Density functional theory data (PBE-GGA) for a geometry-optimized NaCe2F11 structure.

a b c (Å): 8.807 8.785 8.785
angles (deg): 73.36 59.92 59.92
Site moments in Bohr magnetons follow the coordinates.
Element x y z (fractional)
Na  0.750  0.750  0.750  0.00
Na  0.250  0.250  0.250  0.00
Ce  0.668  0.698  0.302  0.00
Ce  0.332  0.302  0.698  0.00
Ce  0.832  0.198  0.802  0.00
Ce  0.168  0.802  0.198  0.00
F  0.643  0.721  0.547  0.14
F  0.357  0.279  0.453  0.14
F  0.088  0.547  0.721  0.14
F  0.857  0.953  0.779  0.14
F  0.912  0.453  0.279  0.14
F  0.143  0.047  0.221  0.14
F  0.412  0.779  0.953  0.14
F  0.588  0.221  0.047  0.14
F  0.500  0.500  0.500  0.50
F  0.000  0.000  0.000  0.50
F  0.900  0.811  0.189  0.22
F  0.100  0.189  0.811  0.22
F  0.600  0.311  0.689  0.22
F  0.400  0.689  0.311  0.22
F  0.474  0.968  0.307  0.12
F  0.526  0.032  0.693  0.12
F  0.250  0.307  0.968  0.12
F  0.026  0.193  0.532  0.12
F  0.750  0.693  0.032  0.12
F  0.974  0.807  0.468  0.12
F  0.250  0.532  0.193  0.12
F  0.750  0.468  0.807  0.12

Properties
**Symmetry**: No. 72
**E_form (uncorrected)**: -2.95 eV per atom

***

(6)
Density functional theory data (PBE-GGA) for a geometry-optimized Sc5GaAu4 structure.

a b c (Å): 3.398 3.398 16.989
angles (deg): 90.00 90.00 90.00
Element x y z (fractional)
Sc  0.500  0.500  0.099
Sc  0.500  0.500  0.299
Sc  0.500  0.500  0.500
Sc  0.500  0.500  0.701
Sc  0.500  0.500  0.901
Ga  0.000  0.000  0.000
Au  0.000  0.000  0.196
Au  0.000  0.000  0.400
Au  0.000  0.000  0.600
Au  0.000  0.000  0.804

Properties
**Symmetry**: No. 123
**Formation enthalpy at 0 K**: -0.768 eV/atom

***

(7)
Density functional theory data (PBE-GGA) for a geometry-optimized Ba3PaCu2S9 structure.

a b c (Å): 6.956 6.956 8.486
angles (deg): 90.00 90.00 120.00
Element x y z (fractional)
Ba  0.333  0.667  0.688
Ba  0.000  0.000  0.000
Ba  0.667  0.333  0.312
Pa  0.000  0.000  0.500
Cu  0.333  0.667  0.158
Cu  0.667  0.333  0.842
S  0.826  0.174  0.678
S  0.826  0.652  0.678
S  0.348  0.174  0.678
S  0.652  0.826  0.322
S  0.174  0.348  0.322
S  0.174  0.826  0.322
S  0.500  0.000  0.000
S  0.000  0.500  0.000
S  0.500  0.500  0.000

Properties
**Symmetry**: No. 164
**E_form (uncorrected)**: -1.13 eV per atom

***

(8)
Density functional theory data (PBE-GGA) for a geometry-optimized ZnCoP2 structure.

a b c (Å): 5.230 5.230 6.387
angles (deg): 65.83 65.83 90.00
Element x y z (fractional)
P  0.579  0.125  0.250
P  0.171  0.625  0.250
P  0.375  0.421  0.750
P  0.875  0.829  0.750
Zn  0.000  0.000  0.000
Zn  0.750  0.250  0.500
Co  0.500  0.500  0.000
Co  0.250  0.750  0.500

Properties
**Symmetry**: No. 122
**Formation enthalpy at 0 K**: -0.047 eV/atom

***

Please write out number 1 again, unchanged.
Density functional theory data (PBE-GGA) for a geometry-optimized CuAsF3 structure.

a b c (Å): 4.252 4.252 4.252
angles (deg): 90.00 90.00 90.00
Site moments in Bohr magnetons follow the coordinates.
Element x y z (fractional)
As  0.000  0.000  0.000  0.15
Cu  0.500  0.500  0.500  0.05
F  0.000  0.500  0.000  0.02
F  0.000  0.000  0.500  0.03
F  0.500  0.000  0.000  0.02

Properties
**Symmetry**: No. 221
**Energy above the lowest structure with this stoichiometry**: 0.0 kJ/mol of atoms
**E_form (uncorrected)**: -0.89 eV per atom